#one
A geometry-optimized Ba3Te2O structure, computed with PBE.

Cell: 9.9380 4.7863 19.1510 Å, 90.00 90.00 90.00°
Space group Pnma (No. 62)
One atom of each set of equivalent atoms:
Ba 0.0162 0.2500 0.1041
Ba 0.1458 0.2500 0.5735
Ba 0.1775 0.7500 0.2631
Te 0.0784 0.7500 0.7133
Te 0.2496 0.2500 0.9538
O 0.1321 0.7500 0.1336

Values from the calculation:
For the total magnetization, the calculation gives 0.00 μB/cell. The calculation puts the density of states at the Fermi level at 0.00 states/eV/f.u.

***

#two
A geometry-optimized Ba3Te2O structure, computed with PBE.

Cell: 4.4755 6.8580 14.2767 Å, 90.00 90.00 90.00°
Space group Immm (No. 71)
One atom of each set of equivalent atoms:
Ba 0.0000 0.0000 0.0000
Ba 0.0000 0.0000 0.3683
Te 0.0000 0.5000 0.3234
O 0.0000 0.5000 0.0000

Values from the calculation:
For the total magnetization, the calculation gives 0.00 μB/cell.

***

Which structure is the most stable? The one labeled #one.

***

#one
A geometry-optimized BaTe2O structure, computed with PBE.

Cell: 7.7758 7.7758 7.7758 Å, 90.00 90.00 90.00°
Space group Fm-3m (No. 225)
One atom of each set of equivalent atoms:
Ba 0.0000 0.0000 0.0000
Te 0.2500 0.2500 0.2500
O 0.0000 0.0000 0.5000

Values from the calculation:
For the total magnetization, the calculation gives 0.00 μB/cell. The calculation puts the density of states at the Fermi level at 8.98 states/eV/f.u.

***

#two
A geometry-optimized BaTe2O structure, computed with PBE.

Cell: 7.5884 7.5884 8.6006 Å, 90.00 90.00 90.00°
Space group I-42d (No. 122)
One atom of each set of equivalent atoms:
Ba 0.0000 0.0000 0.0000
Te 0.0856 0.2500 0.6250
O 0.0000 0.0000 0.5000

Values from the calculation:
For the total magnetization, the calculation gives 0.00 μB/cell. The calculation puts the density of states at the Fermi level at 0.15 states/eV/f.u.

***

#three
A geometry-optimized BaTe2O structure, computed with PBE.

Cell: 5.6346 5.6346 20.2301 Å, 90.00 90.00 120.00°
Space group R-3m (No. 166, hexagonal axes)
One atom of each set of equivalent atoms:
Ba 0.0000 0.0000 0.0000
Te 0.0000 0.0000 0.4015
O 0.0000 0.0000 0.5000

Values from the calculation:
For the total magnetization, the calculation gives 0.00 μB/cell. The calculation puts the density of states at the Fermi level at 1.26 states/eV/f.u.

***

#four
A geometry-optimized BaTe2O structure, computed with PBE.

Cell: 3.6515 3.6515 27.0512 Å, 90.00 90.00 120.00°
Space group R-3m (No. 166, hexagonal axes)
One atom of each set of equivalent atoms:
Ba 0.0000 0.0000 0.0000
Te 0.0000 0.0000 0.2267
O 0.0000 0.0000 0.5000

Values from the calculation:
For the total magnetization, the calculation gives 0.00 μB/cell. The calculation puts the density of states at the Fermi level at 5.35 states/eV/f.u.

***

Which structure is the most stable? The one labeled #two.

***

#one
A geometry-optimized Ba2Te2O structure, computed with PBE.

Cell: 4.3805 4.3805 17.5963 Å, 90.00 90.00 90.00°
Space group I4/mmm (No. 139)
One atom of each set of equivalent atoms:
Ba 0.0000 0.0000 0.0967
Te 0.0000 0.5000 0.2500
O 0.0000 0.0000 0.5000

Values from the calculation:
For the total magnetization, the calculation gives 0.00 μB/cell. The calculation puts the density of states at the Fermi level at 1.15 states/eV/f.u.

***

#two
A geometry-optimized Ba2Te2O structure, computed with PBE.

Cell: 7.5225 7.5225 5.8182 Å, 90.00 90.00 90.00°
Space group P4/mbm (No. 127)
One atom of each set of equivalent atoms:
Ba 0.1907 0.3093 0.0000
Te 0.1305 0.6305 0.5000
O 0.0000 0.0000 0.0000

Values from the calculation:
For the total magnetization, the calculation gives 0.00 μB/cell. The calculation puts the density of states at the Fermi level at 0.58 states/eV/f.u.

***

Which structure is the most stable? The one labeled #two.

***

#one
A geometry-optimized Ba2TeO5 structure, computed with PBE.

Cell: 4.1964 13.1351 11.4672 Å, 90.00 90.00 90.00°
Space group Cmcm (No. 63)
One atom of each set of equivalent atoms:
Ba 0.0000 0.1380 0.0786
Te 0.0000 0.1562 0.7500
O 0.0000 0.0544 0.6309
O 0.0000 0.2598 0.6266
O 0.0000 0.3156 0.2500

Values from the calculation:
For the total magnetization, the calculation gives 0.00 μB/cell. The calculation puts the density of states at the Fermi level at 0.00 states/eV/f.u.

***

#two
A geometry-optimized Ba2TeO5 structure, computed with PBE.

Cell: 11.2444 5.3052 6.8018 Å, 90.00 122.78 90.00°
Space group C2 (No. 5)
One atom of each set of equivalent atoms:
Ba 0.2206 0.0000 0.2420
Te 0.0000 0.9741 0.5000
O 0.0000 0.6202 0.5000
O 0.0339 0.0921 0.7906
O 0.2024 0.0001 0.6281

Values from the calculation:
For the total magnetization, the calculation gives 0.00 μB/cell. The calculation puts the density of states at the Fermi level at 0.00 states/eV/f.u.

***

Which structure is the most stable? The one labeled #two.

***

#one
A geometry-optimized BaTiO2 structure, computed with PBE.

Cell: 3.2855 3.2855 20.7309 Å, 90.00 90.00 120.00°
Space group R-3m (No. 166, hexagonal axes)
One atom of each set of equivalent atoms:
Ba 0.0000 0.0000 0.0000
Ti 0.0000 0.0000 0.5000
O 0.0000 0.0000 0.1236

Values from the calculation:
For the total magnetization, the calculation gives 1.53 μB/cell. The calculation puts the density of states at the Fermi level at 3.01 states/eV/f.u.

***

#two
A geometry-optimized BaTiO2 structure, computed with PBE.

Cell: 5.1547 5.1547 11.0070 Å, 90.00 90.00 90.00°
Space group I-42d (No. 122)
One atom of each set of equivalent atoms:
Ba 0.0000 0.0000 0.0000
Ti 0.0000 0.0000 0.5000
O 0.0884 0.2500 0.6250

Values from the calculation:
For the total magnetization, the calculation gives 0.66 μB/cell. The calculation puts the density of states at the Fermi level at 2.45 states/eV/f.u.

***

#three
A geometry-optimized BaTiO2 structure, computed with PBE.

Cell: 6.2075 6.2075 6.2075 Å, 90.00 90.00 90.00°
Space group Fm-3m (No. 225)
One atom of each set of equivalent atoms:
Ba 0.0000 0.0000 0.0000
Ti 0.0000 0.0000 0.5000
O 0.2500 0.2500 0.2500

Values from the calculation:
For the total magnetization, the calculation gives 8.00 μB/cell. The calculation puts the density of states at the Fermi level at 0.00 states/eV/f.u.

***

Which structure is the most stable? The one labeled #two.

***

#one
A geometry-optimized Ba2Ti3O8 structure, computed with PBE.

Cell: 3.9497 3.9497 12.9662 Å, 90.00 90.00 90.00°
Space group P4/mmm (No. 123)
One atom of each set of equivalent atoms:
Ba 0.0000 0.0000 0.1643
Ti 0.5000 0.5000 0.0000
Ti 0.5000 0.5000 0.3060
O 0.0000 0.5000 0.0000
O 0.0000 0.5000 0.3158
O 0.5000 0.5000 0.1585

Values from the calculation:
For the total magnetization, the calculation gives 0.00 μB/cell.

***

#two
A geometry-optimized Ba2Ti3O8 structure, computed with PBE.

Cell: 12.5539 6.2631 5.2325 Å, 90.00 109.84 90.00°
Space group C2/m (No. 12)
One atom of each set of equivalent atoms:
Ba 0.2221 0.0000 0.1740
Ti 0.0000 0.2357 0.5000
Ti 0.0000 0.5000 0.0000
O 0.0885 0.2850 0.8797
O 0.0903 0.5000 0.3947
O 0.0972 0.0000 0.4805

Values from the calculation:
For the total magnetization, the calculation gives 0.00 μB/cell. The calculation puts the density of states at the Fermi level at 0.00 states/eV/f.u.

***

Which structure is the most stable? The one labeled #two.

***

#one
A geometry-optimized BaUTiO6 structure, computed with PBE.

Cell: 6.6258 8.6411 10.3212 Å, 90.00 102.06 90.00°
Space group P2_1/c (No. 14)
One atom of each set of equivalent atoms:
Ba 0.0310 0.2272 0.3349
U 0.4779 0.0166 0.1781
Ti 0.3853 0.6506 0.9511
O 0.1238 0.6575 0.9491
O 0.1907 0.0438 0.1319
O 0.2348 0.0143 0.7673
O 0.4169 0.7153 0.7774
O 0.4318 0.0620 0.3877
O 0.4998 0.1493 0.9887

Values from the calculation:
For the total magnetization, the calculation gives 0.00 μB/cell. The calculation puts the density of states at the Fermi level at 0.00 states/eV/f.u.

***

#two
A geometry-optimized BaUTiO6 structure, computed with PBE.

Cell: 5.5121 5.5121 5.7136 Å, 90.00 90.00 120.00°
Space group P312 (No. 149)
One atom of each set of equivalent atoms:
Ba 0.0000 0.0000 0.0000
U 0.6667 0.3333 0.5000
Ti 0.3333 0.6667 0.5000
O 0.0130 0.3910 0.6931

Values from the calculation:
For the total magnetization, the calculation gives 0.00 μB/cell. The calculation puts the density of states at the Fermi level at 0.00 states/eV/f.u.

***

Which structure is the most stable? The one labeled #one.

***

#one
A geometry-optimized BaTlO structure, computed with PBE.

Cell: 12.1479 3.7745 7.4767 Å, 90.00 90.13 90.00°
Space group C2/m (No. 12)
One atom of each set of equivalent atoms:
Ba 0.0000 0.0000 0.0000
Ba 0.0000 0.0000 0.5000
Tl 0.2367 0.5000 0.2516
O 0.0439 0.5000 0.2501

Values from the calculation:
For the total magnetization, the calculation gives 0.00 μB/cell. The calculation puts the density of states at the Fermi level at 0.85 states/eV/f.u.

***

#two
A geometry-optimized BaTlO structure, computed with PBE.

Cell: 4.5295 4.5295 10.0203 Å, 90.00 90.00 90.00°
Space group P4/nmm (No. 129, origin choice 2)
One atom of each set of equivalent atoms:
Ba 0.2500 0.2500 0.1162
Tl 0.2500 0.2500 0.5511
O 0.2500 0.7500 0.0000

Values from the calculation:
For the total magnetization, the calculation gives 0.37 μB/cell. The calculation puts the density of states at the Fermi level at 3.27 states/eV/f.u.

***

Which structure is the most stable? The one labeled #one.

***

#one
A geometry-optimized Ba2TlO structure, computed with PBE.

Cell: 4.0245 4.0245 26.8684 Å, 90.00 90.00 120.00°
Space group R3m (No. 160, hexagonal axes)
One atom of each set of equivalent atoms:
Ba 0.0000 0.0000 0.0000
Ba 0.0000 0.0000 0.2160
Tl 0.0000 0.0000 0.4435
O 0.0000 0.0000 0.6131

Values from the calculation:
For the total magnetization, the calculation gives 0.00 μB/cell. The calculation puts the density of states at the Fermi level at 2.56 states/eV/f.u.

***

#two
A geometry-optimized Ba2TlO structure, computed with PBE.

Cell: 7.8249 7.8249 9.7927 Å, 90.00 90.00 90.00°
Space group I-42d (No. 122)
One atom of each set of equivalent atoms:
Ba 0.1393 0.2500 0.1250
Tl 0.0000 0.0000 0.5000
O 0.0000 0.0000 0.0000

Values from the calculation:
For the total magnetization, the calculation gives 0.00 μB/cell. The calculation puts the density of states at the Fermi level at 1.49 states/eV/f.u.

***

Which structure is the most stable? The one labeled #two.

***

#one
A geometry-optimized Ba2TlO structure, computed with PBE.

Cell: 8.8630 4.7900 12.8832 Å, 90.00 90.00 90.00°
Space group Pnma (No. 62)
One atom of each set of equivalent atoms:
Ba 0.1334 0.2500 0.0601
Ba 0.1553 0.2500 0.7497
Tl 0.0628 0.2500 0.4282
O 0.0281 0.7500 0.1082

Values from the calculation:
For the total magnetization, the calculation gives 0.00 μB/cell. The calculation puts the density of states at the Fermi level at 2.01 states/eV/f.u.

***

#two
A geometry-optimized Ba2TlO structure, computed with PBE.

Cell: 4.8939 4.8939 28.4952 Å, 90.00 90.00 120.00°
Space group R-3m (No. 166, hexagonal axes)
One atom of each set of equivalent atoms:
Ba 0.0000 0.0000 0.0795
Tl 0.0000 0.0000 0.5000
O 0.0000 0.0000 0.0000

Values from the calculation:
For the total magnetization, the calculation gives 1.72 μB/cell. The calculation puts the density of states at the Fermi level at 2.56 states/eV/f.u.

***

Which structure is the most stable? The one labeled #one.